The following is a DFT calculation (PBE with a Hubbard U) of an optimized crystal structure of Na2GaNiF8.

## Properties
- Total DFT energy (no corrections): -4.325 eV per atom
- Space-group type: No. 10
- Calculated volume: 13.02 Å³/atom

Cell and atoms, written as extended XYZ:
```
12
Lattice="-0.813 3.961 -3.005 -1.700 -3.247 -3.401 -5.732 0.578 2.314" Properties=species:S:1:pos:R:3 pbc="T T T"
F -1.846 0.510 -4.700
F -5.836 -1.567 -1.581
F -4.714 0.798 -3.550
F -2.976 -1.855 -2.736
Na -5.561 0.791 -1.466
Na -2.685 0.501 -2.627
F -2.410 2.859 -2.512
Ga 0.000 0.000 0.000
F -6.400 0.782 0.607
F -3.531 0.493 -0.542
F -5.270 3.147 -1.357
Ni -2.866 0.289 1.157
```